Record 1
The following is a DFT calculation (PBEsol) of a geometry-optimized ScGaCo2Os structure.

a = 4.4423 Å, b = 4.4423 Å, c = 4.8637 Å
α = 90.00°, β = 90.00°, γ = 90.00°
Space group P4/mmm (No. 123)
Asymmetric unit:
Sc  0.0000  0.0000  0.0000 x1
Ga  0.5000  0.5000  0.0000 x1
Co  0.0000  0.5000  0.5000 x2
Os  0.0000  0.0000  0.5000 x1

## Properties
* E_form: 0.970 eV/atom
* VASP energy: -6.557 eV/atom
* M_tot: 0.31 μB/atom

Record 2
The following is a DFT calculation (PBEsol) of a geometry-optimized BiS3F structure.

a = 5.2562 Å, b = 5.2562 Å, c = 5.2562 Å
α = 90.00°, β = 90.00°, γ = 90.00°
Space group Pm-3m (No. 221)
Asymmetric unit:
Bi  0.0000  0.0000  0.0000 x1
S  0.0000  0.0000  0.5000 x3
F  0.5000  0.5000  0.5000 x1

## Properties
* VASP energy: -3.114 eV/atom
* M_tot: 0.71 μB/atom
* formation energy without anion corrections: 0.76 eV/atom

Q: Among the records above, which one has the lowest M_tot?
A: ScGaCo2Os

Q: M_tot of number 1 (ScGaCo2Os)?
A: 0.31 μB/atom

Q: Which formula does entry 2 have?
A: BiS3F

Q: Which value of M_tot does entry 1 give?
A: 0.31 μB/atom